Entry 1:
# NaCr4O12

NaCr4O12 at its PBEsol-relaxed geometry (SCAN, Alexandria via LeMat-Bulk).

Cell: 8.533 8.533 29.126 Å, 90.00 90.00 90.00°
Space group I4_1/acd (No. 142, origin choice 2)
Asymmetric unit:
Na: 0.000 0.250 0.125
Cr: 0.135 0.109 0.297
O: 0.000 0.250 0.279
O: 0.052 0.004 0.168
O: 0.056 0.031 0.570
O: 0.202 0.000 0.250

Output
* raw total energy: -1465.3 eV for the cell shown
* V: 15.6 Å³/atom
* formation energy (no corrections): -1.8019 eV per atom

Entry 2:
# NiHgTe2

NiHgTe2 at its PBEsol-relaxed geometry (SCAN, Alexandria via LeMat-Bulk).

Cell: 3.705 5.334 9.566 Å, 90.00 90.00 90.00°
Space group Cmmm (No. 65)
Asymmetric unit:
Ni: 0.000 0.000 0.000
Hg: 0.000 0.000 0.500
Te: 0.000 0.500 0.180

Output
* raw total energy: -317.0 eV for the cell shown
* V: 23.6 Å³/atom
* formation energy (no corrections): 0.0827 eV per atom

Entry 3:
# MgHgAs3

MgHgAs3 at its PBEsol-relaxed geometry (SCAN, Alexandria via LeMat-Bulk).

Cell: 4.924 4.924 4.924 Å, 90.00 90.00 90.00°
Space group Pm-3m (No. 221)
Asymmetric unit:
Mg: 0.000 0.000 0.000
Hg: 0.500 0.500 0.500
As: 0.000 0.000 0.500

Output
* raw total energy: -130.1 eV for the cell shown
* V: 23.9 Å³/atom
* DFT formation energy: 0.725 eV/atom

Entry 4:
# Tl4SiIr

Tl4SiIr at its PBEsol-relaxed geometry (SCAN, Alexandria via LeMat-Bulk).

Cell: 8.359 8.359 8.359 Å, 90.00 90.00 90.00°
Space group F-43m (No. 216)
Asymmetric unit:
Tl: 0.125 0.125 0.125
Si: 0.250 0.250 0.750
Ir: 0.000 0.000 0.500

Output
* raw total energy: -1453.0 eV for the cell shown
* V: 24.3 Å³/atom
* formation energy (no corrections): 1.2177 eV per atom

Entry 5:
# Fe5Re24

Fe5Re24 at its PBEsol-relaxed geometry (SCAN, Alexandria via LeMat-Bulk).

Cell: 9.478 9.478 9.478 Å, 90.00 90.00 90.00°
Space group I-43m (No. 217)
Asymmetric unit:
Fe: 0.000 0.000 0.000
Fe: 0.169 0.169 0.169
Re: 0.045 0.359 0.641
Re: 0.092 0.092 0.715

Output
* raw total energy: -3593.5 eV for the cell shown
* V: 14.7 Å³/atom
* DFT formation energy: 0.009 eV/atom

Entry 6:
# Sc2CuI

Sc2CuI at its PBEsol-relaxed geometry (SCAN, Alexandria via LeMat-Bulk).

Cell: 3.9384 3.9384 24.3720 Å, 90.00 90.00 120.00°
Space group R-3m (No. 166, hexagonal axes)
Asymmetric unit:
Sc: 0.0000 0.0000 0.1148
Cu: 0.0000 0.0000 0.5000
I: 0.0000 0.0000 0.0000

Output
* raw total energy: -244.9 eV for the cell shown
* V: 27.3 Å³/atom
* formation energy (no corrections): -0.3054 eV per atom

Entry 7:
# LaTc3

LaTc3 at its PBEsol-relaxed geometry (SCAN, Alexandria via LeMat-Bulk).

Cell: 3.083 3.083 7.468 Å, 90.00 90.00 90.00°
Space group P4/mmm (No. 123)
Asymmetric unit:
La: 0.000 0.000 0.000
Tc: 0.000 0.000 0.500
Tc: 0.500 0.500 0.311

Output
* raw total energy: -147.1 eV for the cell shown
* V: 17.7 Å³/atom
* DFT formation energy: 0.305 eV/atom

Entry 8:
# Nd2MgCu2

Nd2MgCu2 at its PBEsol-relaxed geometry (SCAN, Alexandria via LeMat-Bulk).

Cell: 7.696 7.696 3.755 Å, 90.00 90.00 90.00°
Space group P4/mbm (No. 127)
Asymmetric unit:
Nd: 0.170 0.330 0.000
Mg: 0.000 0.000 0.500
Cu: 0.121 0.621 0.500

Output
* raw total energy: -247.3 eV for the cell shown
* V: 22.2 Å³/atom
* DFT formation energy: -0.225 eV/atom

Entry 9:
# ScAgTe2

ScAgTe2 at its PBEsol-relaxed geometry (SCAN, Alexandria via LeMat-Bulk).

Cell: 4.1463 4.1463 20.5318 Å, 90.00 90.00 120.00°
Space group R-3m (No. 166, hexagonal axes)
Asymmetric unit:
Sc: 0.0000 0.0000 0.0000
Ag: 0.0000 0.0000 0.5000
Te: 0.0000 0.0000 0.2513

Output
* raw total energy: -369.9 eV for the cell shown
* V: 25.5 Å³/atom
* formation energy (no corrections): -0.7978 eV per atom

Entry 10:
# CuSi2IrN

CuSi2IrN at its PBEsol-relaxed geometry (SCAN, Alexandria via LeMat-Bulk).

Cell: 4.470 4.470 4.813 Å, 90.00 90.00 90.00°
Space group P4/mmm (No. 123)
Asymmetric unit:
Cu: 0.000 0.000 0.000
Si: 0.000 0.500 0.500
Ir: 0.000 0.000 0.500
N: 0.500 0.500 0.000

Output
* raw total energy: -109.8 eV for the cell shown
* V: 19.2 Å³/atom
* formation energy (no corrections): 1.1608 eV per atom

Entry 11:
# GaSI2O

GaSI2O at its PBEsol-relaxed geometry (SCAN, Alexandria via LeMat-Bulk).

Cell: 5.671 5.671 3.495 Å, 90.00 90.00 90.00°
Space group P4/mmm (No. 123)
Asymmetric unit:
Ga: 0.000 0.000 0.000
S: 0.500 0.500 0.500
I: 0.000 0.500 0.000
O: 0.000 0.000 0.500

Output
* raw total energy: -105.4 eV for the cell shown
* V: 22.5 Å³/atom
* formation energy (no corrections): 0.0571 eV per atom

Entry 12:
# Ba2CoAu

Ba2CoAu at its PBEsol-relaxed geometry (SCAN, Alexandria via LeMat-Bulk).

Cell: 7.654 7.654 7.654 Å, 90.00 90.00 90.00°
Space group Fm-3m (No. 225)
Asymmetric unit:
Ba: 0.250 0.250 0.250
Co: 0.000 0.000 0.000
Au: 0.000 0.000 0.500

Output
* raw total energy: -663.9 eV for the cell shown
* V: 28.0 Å³/atom
* DFT formation energy: -0.101 eV/atom